[1]
In2CoW | PBE | relaxed

The calculated total energy is -0.216 Ha/atom. As for the space-group type: R-3m (166).

Cell lengths 9.1126, 9.1126, 9.1126 Å; angles 18.91, 18.91, 18.91 degrees
Each line ends with the local moment (μB).
Sites, in units of the cell vectors:
1 In 0.0065 0.0065 0.0065  -0.01
2 W 0.2500 0.2500 0.2500  -0.01
3 In 0.4935 0.4935 0.4935  -0.01
4 Co 0.7500 0.7500 0.7500  1.12

---

[2]
In2CoW | PBE | relaxed

The calculated total energy is -0.213 Ha/atom. As for the space-group type: Immm (71).

Cell lengths 5.4724, 5.4724, 5.4724 Å; angles 148.25, 125.75, 64.24 degrees
Each line ends with the local moment (μB).
Sites, in units of the cell vectors:
1 W 0.7500 0.2500 0.5000  0.16
2 Co 0.2500 0.7500 0.5000  0.95
3 In 0.0237 0.0237 0.0000  -0.01
4 In 0.4763 0.4763 0.0000  -0.01

---

[3]
In2CoW | PBE | relaxed

The calculated total energy is -0.212 Ha/atom. As for the space-group type: P2/m (10).

Cell lengths 4.3709, 2.8941, 5.6073 Å; angles 79.15, 90.00, 90.00 degrees
Each line ends with the local moment (μB).
Sites, in units of the cell vectors:
1 Co 0.5000 0.7500 0.7500  1.09
2 W 0.5000 0.2500 0.2500  0.14
3 In 0.0000 0.9114 0.9914  -0.01
4 In 0.0000 0.5886 0.5086  -0.01

---

[4]
In2CoW | PBE | relaxed

The calculated total energy is -0.217 Ha/atom. As for the space-group type: Cmmm (65).

Cell lengths 2.8864, 2.8864, 8.1014 Å; angles 90.00, 90.00, 90.12 degrees
Sites, in units of the cell vectors:
1 In 0.0000 0.0000 0.5312
2 Co 0.5000 0.5000 0.7500
3 In 0.0000 0.0000 0.9688
4 W 0.5000 0.5000 0.2500

---

[5]
In2CoW | PBE | relaxed

The calculated total energy is -0.213 Ha/atom. As for the space-group type: P4/mmm (123).

Cell lengths 4.1681, 4.1640, 3.9558 Å; angles 90.00, 90.00, 90.00 degrees
Each line ends with the local moment (μB).
Sites, in units of the cell vectors:
1 In 0.5000 0.5000 0.0000  -0.02
2 Co 0.0000 0.5000 0.5000  1.09
3 In 0.0000 0.0000 0.0000  -0.02
4 W 0.5000 0.0000 0.5000  0.15

---

[6]
In2CoW | PBE | relaxed

The calculated total energy is -0.217 Ha/atom. As for the space-group type: Pm (6).

Cell lengths 4.2643, 3.0581, 5.7963 Å; angles 71.78, 90.00, 90.00 degrees
Each line ends with the local moment (μB).
Sites, in units of the cell vectors:
1 W 0.0000 0.6386 0.5208  -0.02
2 Co 0.5000 0.6410 0.7261  0.62
3 In 0.5000 0.2967 0.2833  0.00
4 In 0.0000 0.9237 0.9698  0.00

---

[7]
In2CoW | PBE | relaxed

The calculated total energy is -0.218 Ha/atom. As for the space-group type: Imm2 (44).

Cell lengths 6.1066, 6.1066, 6.1066 Å; angles 153.01, 135.48, 52.83 degrees
Sites, in units of the cell vectors:
1 W 0.4506 0.4506 0.0000
2 In 0.0393 0.0393 0.0000
3 Co 0.2651 0.7651 0.5000
4 In 0.7449 0.2449 0.5000

---

[8]
InCoW3 | PBE | relaxed

The calculated total energy is -0.311 Ha/atom. As for the space-group type: Pm-3m (221).

Cell lengths 4.5064, 4.5064, 4.5064 Å; angles 90.00, 90.00, 90.00 degrees
Sites, in units of the cell vectors:
1 W 0.0000 0.0000 0.5000
2 In 0.5000 0.5000 0.5000
3 W 0.5000 0.0000 0.0000
4 W 0.0000 0.5000 0.0000
5 Co 0.0000 0.0000 0.0000

---

[9]
In2CoW | PBE | relaxed

The calculated total energy is -0.213 Ha/atom. As for the space-group type: C2/m (12).

Cell lengths 5.1161, 5.1161, 5.0523 Å; angles 70.96, 70.96, 33.88 degrees
Each line ends with the local moment (μB).
Sites, in units of the cell vectors:
1 In 0.9799 0.9799 0.0153  -0.01
2 Co 0.2500 0.2500 0.2500  0.98
3 In 0.5201 0.5201 0.4847  -0.01
4 W 0.7500 0.7500 0.7500  0.13

---

[10]
In2CoW | PBE | relaxed

The calculated total energy is -0.224 Ha/atom. As for the space-group type: P4mm (99).

Cell lengths 2.9819, 2.9819, 8.1789 Å; angles 90.00, 90.00, 89.99 degrees
Sites, in units of the cell vectors:
1 Co 0.5000 0.5000 0.7176
2 In 0.0000 0.0000 0.9451
3 In 0.5000 0.5000 0.2866
4 W 0.0000 0.0000 0.5508

---

[11]
InCo3W | PBE | relaxed

The calculated total energy is -0.225 Ha/atom. As for the space-group type: Pm-3m (221).

Cell lengths 4.4622, 4.4622, 4.4622 Å; angles 90.00, 90.00, 90.00 degrees
Sites, in units of the cell vectors:
1 Co 0.5000 0.0000 0.0000
2 In 0.5000 0.5000 0.5000
3 Co 0.0000 0.0000 0.5000
4 Co 0.0000 0.5000 0.0000
5 W 0.0000 0.0000 0.0000

---

[12]
In2CoW | PBE | relaxed

The calculated total energy is -0.206 Ha/atom. As for the space-group type: F-43m (216).

Cell lengths 4.6254, 4.6254, 4.6254 Å; angles 60.00, 60.00, 60.00 degrees
Each line ends with the local moment (μB).
Sites, in units of the cell vectors:
1 In 0.2500 0.2500 0.2500  -0.03
2 In 0.0000 0.0000 0.0000  0.09
3 W 0.7500 0.7500 0.7500  1.06
4 Co 0.5000 0.5000 0.5000  1.29

---

[13]
In2CoW | PBE | relaxed

The calculated total energy is -0.208 Ha/atom. As for the space-group type: Fm-3m (225).

Cell lengths 4.6134, 4.6134, 4.6134 Å; angles 60.00, 60.00, 60.00 degrees
Each line ends with the local moment (μB).
Sites, in units of the cell vectors:
1 W 0.5000 0.5000 0.5000  1.14
2 In 0.7500 0.7500 0.7500  0.00
3 In 0.2500 0.2500 0.2500  0.00
4 Co 0.0000 0.0000 0.0000  0.87

---

[14]
In2CoW | PBE | relaxed

The calculated total energy is -0.211 Ha/atom. As for the space-group type: I4/mmm (139).

Cell lengths 5.2047, 5.2047, 5.2047 Å; angles 134.68, 134.68, 66.03 degrees
Each line ends with the local moment (μB).
Sites, in units of the cell vectors:
1 In 0.0000 0.0000 0.0000  0.03
2 In 0.5000 0.5000 0.0000  0.03
3 W 0.2500 0.7500 0.5000  0.59
4 Co 0.7500 0.2500 0.5000  1.79

---

[15]
In2CoW | PBE | relaxed

The calculated total energy is -0.214 Ha/atom. As for the space-group type: Cmmm (65).

Cell lengths 6.5064, 5.0444, 2.9059 Å; angles 90.01, 63.45, 121.08 degrees
Each line ends with the local moment (μB).
Sites, in units of the cell vectors:
1 In 0.0000 0.0000 0.0000  -0.02
2 In 0.5000 0.0000 0.5000  -0.02
3 Co 0.5000 0.5000 0.0000  1.29
4 W 0.0000 0.5000 0.5000  0.15

---

[16]
In3CoW | PBE | relaxed

The calculated total energy is -0.168 Ha/atom. As for the space-group type: Pm-3m (221).

Cell lengths 4.8275, 4.8275, 4.8275 Å; angles 90.00, 90.00, 90.00 degrees
Each line ends with the local moment (μB).
Sites, in units of the cell vectors:
1 Co 0.0000 0.0000 0.0000  0.48
2 In 0.5000 0.0000 0.0000  0.00
3 In 0.0000 0.0000 0.5000  -0.06
4 In 0.0000 0.5000 0.0000  -0.04
5 W 0.5000 0.5000 0.5000  2.64

---

[17]
Zr2InCoW | PBE | relaxed

The calculated total energy is -0.264 Ha/atom. As for the space-group type: P4/mmm (123).

Cell lengths 5.1048, 4.4643, 5.1048 Å; angles 90.00, 90.00, 90.00 degrees
Sites, in units of the cell vectors:
1 Co 0.0000 0.5000 0.0000
2 W 0.0000 0.0000 0.0000
3 In 0.5000 0.5000 0.5000
4 Zr 0.0000 0.0000 0.5000
5 Zr 0.5000 0.0000 0.0000

---

[18]
YInCo | PBE | relaxed

The calculated total energy is -0.205 Ha/atom. As for the space-group type: P-6m2 (187).

Cell lengths 4.5057, 4.5057, 3.6398 Å; angles 90.00, 90.00, 120.00 degrees
Each line ends with the local moment (μB).
Sites, in units of the cell vectors:
1 Y 0.6667 0.3333 0.6668  -0.08
2 In 0.3333 0.6667 0.1667  -0.01
3 Co 0.0000 0.0000 0.1665  0.92

---

[19]
YIn5Co | PBE | relaxed

The calculated total energy is -0.141 Ha/atom. As for the space-group type: P4/mmm (123).

Cell lengths 4.3601, 4.3601, 8.8949 Å; angles 90.00, 90.00, 90.00 degrees
Each line ends with the local moment (μB).
Sites, in units of the cell vectors:
1 In 0.5000 0.0000 0.2364  -0.01
2 Y 0.0000 0.0000 0.5000  -0.03
3 Co 0.0000 0.0000 0.0000  0.92
4 In 0.0000 0.5000 0.2364  -0.01
5 In 0.0000 0.5000 0.7636  -0.01
6 In 0.5000 0.5000 0.0000  0.00
7 In 0.5000 0.0000 0.7636  -0.01

---

[20]
YInCo2 | PBE | relaxed

The calculated total energy is -0.214 Ha/atom. As for the space-group type: Imm2 (44).

Cell lengths 5.5337, 5.5337, 5.5337 Å; angles 145.44, 132.05, 60.44 degrees
Each line ends with the local moment (μB).
Sites, in units of the cell vectors:
1 In 0.5223 0.5223 0.0000  -0.01
2 Co 0.7725 0.2725 0.5000  1.08
3 Y 0.2418 0.7418 0.5000  -0.17
4 Co 0.9633 0.9633 0.0000  1.21